[1]
Below is an optimized crystal structure of LaFeCoB2, with properties calculated at the PBE level.

abc: 3.6704 3.6704 10.0064
angles: 90.00 90.00 90.00
Space group I-4m2 (No. 119)
Unique sites:
La (0.0000, 0.0000, 0.0000)
Fe (0.0000, 0.5000, 0.7500)
Co (0.0000, 0.5000, 0.2500)
B (0.0000, 0.0000, 0.3259)

E, Ha/atom: -0.2636

[2]
Below is an optimized crystal structure of ScIn2Hg, with properties calculated at the PBE level.

abc: 7.2095 7.2095 7.2095
angles: 90.00 90.00 90.00
Space group F-43m (No. 216)
Unique sites:
Sc (0.0000, 0.0000, 0.0000)
In (0.0000, 0.0000, 0.5000)
In (0.2500, 0.2500, 0.2500)
Hg (0.2500, 0.2500, 0.7500)

E, Ha/atom: -0.1151

[3]
Below is an optimized crystal structure of Gd3Fe8Ni, with properties calculated at the PBE level.

abc: 5.0560 5.0560 24.5519
angles: 90.00 90.00 120.00
Space group R-3m (No. 166, hexagonal axes)
Unique sites:
Gd (0.0000, 0.0000, 0.0000)
Gd (0.0000, 0.0000, 0.1418)
Fe (0.0000, 0.0000, 0.3330)
Fe (0.0006, 0.5003, 0.9192)
Ni (0.0000, 0.0000, 0.5000)

Formation enthalpy at 0 K, eV/atom: -0.076
E, Ha/atom: -0.2662

[4]
Below is an optimized crystal structure of CsDy2Si2, with properties calculated at the PBE level.

abc: 5.8578 5.8578 8.5423
angles: 90.00 90.00 90.00
Space group I4/mmm (No. 139)
Unique sites:
Cs (0.0000, 0.0000, 0.0000)
Dy (0.0000, 0.5000, 0.0000)
Si (0.0000, 0.0000, 0.3658)

E, Ha/atom: -0.1237

[5]
Below is an optimized crystal structure of P3W2N2, with properties calculated at the PBE level.

abc: 2.9881 20.3872 2.9794
angles: 90.00 90.00 90.00
Space group Cmmm (No. 65)
Unique sites:
P (0.0000, 0.0000, 0.0000)
P (0.0000, 0.1670, 0.0000)
W (0.0000, 0.4234, 0.5000)
N (0.0000, 0.3246, 0.5000)

E, Ha/atom: -0.2866

[6]
Below is an optimized crystal structure of Cs2NbAgBr6, with properties calculated at the PBE level.

abc: 11.0598 11.0598 11.0598
angles: 90.00 90.00 90.00
Space group Fm-3m (No. 225)
Unique sites:
Cs (0.2500, 0.2500, 0.2500)
Nb (0.0000, 0.0000, 0.0000)
Ag (0.0000, 0.0000, 0.5000)
Br (0.0000, 0.0000, 0.2413)

E, Ha/atom: -0.1309

[7]
Below is an optimized crystal structure of La2NdGe4Ir4, with properties calculated at the PBE level.

abc: 4.1772 4.2457 25.5706
angles: 90.00 90.00 90.00
Space group Immm (No. 71)
Unique sites:
La (0.0000, 0.0000, 0.1446)
Nd (0.0000, 0.5000, 0.0000)
Ge (0.0000, 0.0000, 0.3029)
Ge (0.0000, 0.5000, 0.4513)
Ir (0.0000, 0.0000, 0.4005)
Ir (0.0000, 0.5000, 0.2499)

E, Ha/atom: -0.2596

[8]
Below is an optimized crystal structure of Pd, with properties calculated at the PBE level.

abc: 2.7617 3.8756 33.7163
angles: 90.00 90.00 90.00
Space group Pmmn (No. 59, origin choice 2)
Unique sites:
Pd (0.2500, 0.2500, 0.0208)
Pd (0.2500, 0.2500, 0.1041)
Pd (0.2500, 0.2500, 0.1876)
Pd (0.2500, 0.2500, 0.2723)
Pd (0.2500, 0.2500, 0.6885)
Pd (0.2500, 0.2500, 0.7707)
Pd (0.2500, 0.2500, 0.8541)
Pd (0.2500, 0.2500, 0.9376)

Energy relative to the lowest polymorph listed for this composition, meV/atom: 133.3
Formation enthalpy at 0 K, eV/atom: 0.133
E, Ha/atom: -0.1853

[9]
Below is an optimized crystal structure of Tm3Te5Pt, with properties calculated at the PBE level.

abc: 8.6508 8.6508 3.9829
angles: 90.00 90.00 120.00
Space group P-62m (No. 189)
Unique sites:
Tm (0.0000, 0.2693, 0.0000)
Te (0.0000, 0.6945, 0.5000)
Te (0.3333, 0.6667, 0.0000)
Pt (0.0000, 0.0000, 0.5000)

Energy relative to the lowest polymorph listed for this composition, meV/atom: 0.0
E, Ha/atom: -0.1757

[10]
Below is an optimized crystal structure of PdI2Br, with properties calculated at the PBE level.

abc: 6.4611 11.9769 6.8832
angles: 90.00 90.00 90.00
Space group Amm2 (No. 38)
Unique sites:
Pd (0.2497, 0.0000, 0.0000)
I (0.0000, 0.0000, 0.3302)
I (0.5000, 0.0000, 0.6709)
I (0.5000, 0.1597, 0.1510)
Br (0.0000, 0.1493, 0.8551)

E, Ha/atom: -0.0960

[11]
Below is an optimized crystal structure of HfNiOs2, with properties calculated at the PBE level.

abc: 6.2300 6.2300 6.2300
angles: 90.00 90.00 90.00
Space group F-43m (No. 216)
Unique sites:
Hf (0.0000, 0.0000, 0.0000)
Ni (0.2500, 0.2500, 0.7500)
Os (0.0000, 0.0000, 0.5000)
Os (0.2500, 0.2500, 0.2500)

Formation enthalpy at 0 K, eV/atom: 0.018
E, Ha/atom: -0.3482

[12]
Below is an optimized crystal structure of Er2Se2O7, with properties calculated at the PBE level.

abc: 10.4642 10.4642 5.1608
angles: 90.00 90.00 90.00
Space group P4_2/ncm (No. 138, origin choice 2)
Unique sites:
Er (0.1284, 0.6284, 0.0000)
Se (0.1294, 0.1294, 0.0364)
O (0.0040, 0.6818, 0.6313)
O (0.0643, 0.0643, 0.3153)
O (0.2500, 0.7500, 0.2500)

E, Ha/atom: -0.2487

Number 1: V 13.48 Å³/atom. Number 2: V 23.42 Å³/atom. Number 3: V 15.10 Å³/atom. Number 4: V 29.31 Å³/atom. Number 5: V 12.96 Å³/atom. Number 6: V 33.82 Å³/atom. Number 7: V 20.61 Å³/atom. Number 8: V 22.55 Å³/atom. Number 9: V 28.68 Å³/atom. Number 10: V 33.29 Å³/atom. Number 11: V 15.11 Å³/atom. Number 12: V 12.84 Å³/atom.